First-principles (PBE) data for an optimized crystal structure of TbZn5, as listed in Alexandria.

## Properties
Its density of states at the Fermi level is 5.10 states/eV/cell. For the total energy, the calculation gives -2.00 eV/atom.

a b c (Å): 4.282 11.423 4.385
angles (deg): 90.00 90.00 90.00
Space group Cmmm (No. 65)
Inequivalent atoms, fractional coordinates:
Tb1 0.000 0.000 0.000 x2
Zn1 0.000 0.174 0.500 x4
Zn2 0.000 0.314 0.000 x4
Zn3 0.000 0.500 0.500 x2

***

First-principles (PBE) data for an optimized crystal structure of TbZn11, as listed in Alexandria.

## Properties
Its density of states at the Fermi level is 14.59 states/eV/cell. For the total energy, the calculation gives -1.74 eV/atom.

a b c (Å): 10.555 10.555 6.842
angles (deg): 90.00 90.00 90.00
Space group I4_1/amd (No. 141, origin choice 2)
Inequivalent atoms, fractional coordinates:
Tb1 0.000 0.250 0.375 x4
Zn1 0.000 0.000 0.000 x8
Zn2 0.000 0.250 0.875 x4
Zn3 0.121 0.045 0.675 x32

***

First-principles (PBE) data for an optimized crystal structure of Tb6Zn5, as listed in Alexandria.

## Properties
Its density of states at the Fermi level is 25.39 states/eV/cell. For the total energy, the calculation gives -3.36 eV/atom.

a b c (Å): 5.025 7.161 15.003
angles (deg): 90.00 90.00 90.00
Space group Immm (No. 71)
Inequivalent atoms, fractional coordinates:
Tb1 0.000 0.248 0.164 x8
Tb2 0.000 0.251 0.500 x4
Zn1 0.000 0.000 0.331 x4
Zn2 0.000 0.500 0.000 x2
Zn3 0.000 0.500 0.328 x4

***

First-principles (PBE) data for an optimized crystal structure of Tb4Zn3, as listed in Alexandria.

## Properties
Its density of states at the Fermi level is 25.70 states/eV/cell. For the total energy, the calculation gives -3.39 eV/atom.

a b c (Å): 5.0305 5.0305 24.2382
angles (deg): 90.00 90.00 120.00
Space group R-3m (No. 166, hexagonal axes)
Inequivalent atoms, fractional coordinates:
Tb1 0.0000 0.0000 0.1209 x6
Tb2 0.0000 0.0000 0.3726 x6
Zn1 0.0000 0.0000 0.2474 x6
Zn2 0.0000 0.0000 0.5000 x3

***

First-principles (PBE) data for an optimized crystal structure of TbZn13, as listed in Alexandria.

## Properties
Its density of states at the Fermi level is 41.83 states/eV/cell. For the total energy, the calculation gives -1.64 eV/atom.

a b c (Å): 12.135 12.135 12.135
angles (deg): 90.00 90.00 90.00
Space group Fm-3c (No. 226)
Inequivalent atoms, fractional coordinates:
Tb1 0.250 0.250 0.250 x8
Zn1 0.000 0.000 0.000 x8
Zn2 0.000 0.121 0.180 x96

***

First-principles (PBE) data for an optimized crystal structure of Tb4Zn, as listed in Alexandria.

## Properties
Its density of states at the Fermi level is 5.95 states/eV/cell. For the total energy, the calculation gives -3.75 eV/atom.

a b c (Å): 5.477 5.477 5.477
angles (deg): 90.00 90.00 90.00
Space group Pm-3m (No. 221)
Inequivalent atoms, fractional coordinates:
Tb1 0.000 0.000 0.000 x1
Tb2 0.000 0.500 0.500 x3
Zn1 0.500 0.500 0.500 x1

***

First-principles (PBE) data for an optimized crystal structure of Tb5Zn2, as listed in Alexandria.

## Properties
Its density of states at the Fermi level is 21.49 states/eV/cell. For the total energy, the calculation gives -3.80 eV/atom.

a b c (Å): 16.178 7.035 6.715
angles (deg): 90.00 91.01 90.00
Space group C2/c (No. 15)
Inequivalent atoms, fractional coordinates:
Tb1 0.000 0.006 0.250 x4
Tb2 0.092 0.361 0.508 x8
Tb3 0.227 0.026 0.762 x8
Zn1 0.113 0.242 0.013 x8

***

First-principles (PBE) data for an optimized crystal structure of TbZn6, as listed in Alexandria.

## Properties
Its density of states at the Fermi level is 12.67 states/eV/cell. For the total energy, the calculation gives -1.97 eV/atom.

a b c (Å): 8.343 5.352 10.542
angles (deg): 90.00 90.00 90.00
Space group Pnma (No. 62)
Inequivalent atoms, fractional coordinates:
Tb1 0.238 0.250 0.057 x4
Zn1 0.065 0.750 0.092 x4
Zn2 0.067 0.015 0.309 x8
Zn3 0.094 0.250 0.522 x4
Zn4 0.136 0.750 0.853 x4
Zn5 0.190 0.250 0.756 x4